# La4PrOs (PBE, optimized geometry)
# Formation enthalpy at 0 K: -0.03 eV per atom
# N(E_F): 1.422 states/eV per atom
# Total energy: -0.440 Ry per atom
# Distance to the lowest polymorph of the same formula: 0 meV per atom
# Calculated density: 7.29 g/cm3
# Magnetization: 0.0 μB/cell
data_La4PrOs
_chemical_formula_sum 'La16 Pr4 Os4'
_space_group_name_H-M_alt 'C 1 2/m 1'
_space_group_IT_number 12
_space_group_name_Hall '-C 2y'
_cell_length_a 17.865
_cell_length_b 7.788
_cell_length_c 6.185
_cell_angle_alpha 90.00
_cell_angle_beta 110.21
_cell_angle_gamma 90.00
loop_
_atom_site_label
_atom_site_fract_x
_atom_site_fract_y
_atom_site_fract_z
La1 0.000 0.202 0.000
La2 0.111 0.260 0.611
La3 0.168 0.500 0.168
Pr1 0.199 0.000 0.199
Os1 0.000 0.500 0.255